<a>
VASP calculation (GGA-PBE) on an optimized crystal structure of Dy2CuNi3.

Computed properties:
- Magnetic moment: 0.00 μB per cell
- Space-group type: R-3m, No. 166

abc: 5.061 5.061 5.061
angles: 61.31 61.31 61.31
Sites, in units of the cell vectors:
1 Dy 0.125 0.125 0.125
2 Dy 0.875 0.875 0.875
3 Cu 0.500 0.500 0.500
4 Ni 0.000 0.500 0.500
5 Ni 0.500 0.000 0.500
6 Ni 0.500 0.500 0.000



<b>
VASP calculation (GGA-PBE) on an optimized crystal structure of Dy2CuNi3.

Computed properties:
- Magnetic moment: 0.00 μB per cell
- Space-group type: Immm, No. 71

abc: 5.782 5.782 5.782
angles: 135.67 127.69 70.93
Sites, in units of the cell vectors:
1 Dy 0.189 0.189 0.000
2 Dy 0.811 0.811 0.000
3 Cu 0.500 0.500 0.000
4 Ni 0.000 0.500 0.500
5 Ni 0.378 0.878 0.500
6 Ni 0.622 0.122 0.500



Energies relative to the most stable structure are <a> 0; <b> 286, reported in meV/atom.